The following is a PBE calculation of Cd3B after structural relaxation, from Alexandria via LeMat-Bulk.

Properties
DFT formation energy: 0.836 eV per atom
crystal system: tetragonal
ρ: 7757 kg/m3
uncorrected energy: -1.519 eV/atom

Unit cell a=5.199 b=5.199 c=5.199 alpha=132.69 beta=132.69 gamma=69.14
Element x y z (fractional)
Cd  0.000  0.000  0.000
Cd  0.250  0.750  0.500
Cd  0.750  0.250  0.500
B  0.500  0.500  0.000


The following is a PBE calculation of NaNdPa2O8 after structural relaxation, from Alexandria via LeMat-Bulk.

Properties
crystal system: trigonal
ρ: 7402 kg/m3
uncorrected energy: -7.870 eV/atom

Unit cell a=5.888 b=5.888 c=5.658 alpha=90.00 beta=90.00 gamma=120.00
Element x y z (fractional)
Na  0.000  0.000  0.000
Nd  0.000  0.000  0.500
Pa  0.333  0.667  0.920
Pa  0.667  0.333  0.080
O  0.053  0.350  0.180
O  0.297  0.947  0.180
O  0.333  0.667  0.571
O  0.350  0.297  0.820
O  0.650  0.703  0.180
O  0.667  0.333  0.429
O  0.703  0.053  0.820
O  0.947  0.650  0.820


The following is a PBE calculation of Ca3AcCd8 after structural relaxation, from Alexandria via LeMat-Bulk.

Properties
DFT formation energy: -0.314 eV per atom
crystal system: trigonal
ρ: 6520 kg/m3
energy relative to the lowest polymorph listed for this composition: 0 meV per atom
uncorrected energy: -1.766 eV/atom

Unit cell a=6.154 b=6.154 c=9.680 alpha=90.00 beta=90.00 gamma=120.00
Element x y z (fractional)
Ca  0.000  0.000  0.000
Ca  0.000  0.000  0.377
Ca  0.333  0.667  0.888
Ac  0.333  0.667  0.505
Cd  0.006  0.503  0.189
Cd  0.326  0.163  0.695
Cd  0.497  0.503  0.189
Cd  0.497  0.994  0.189
Cd  0.667  0.333  0.442
Cd  0.667  0.333  0.942
Cd  0.837  0.163  0.695
Cd  0.837  0.674  0.695


The following is a PBE calculation of CaTh2UAs4 after structural relaxation, from Alexandria via LeMat-Bulk.

Properties
DFT formation energy: -1.193 eV per atom
crystal system: monoclinic
ρ: 8185 kg/m3
uncorrected energy: -7.034 eV/atom

Unit cell a=7.254 b=4.216 c=7.329 alpha=90.00 beta=109.41 gamma=90.00
Element x y z (fractional)
Ca  0.000  0.000  0.000
Th  0.500  0.000  0.500
Th  0.500  0.500  0.000
U  0.000  0.500  0.500
As  0.242  0.000  0.744
As  0.247  0.500  0.254
As  0.753  0.500  0.746
As  0.758  0.000  0.256


The following is a PBE calculation of BaPuB12 after structural relaxation, from Alexandria via LeMat-Bulk.

Properties
DFT formation energy: -0.378 eV per atom
crystal system: cubic
ρ: 5755 kg/m3
uncorrected energy: -7.262 eV/atom

Unit cell a=5.930 b=5.930 c=5.930 alpha=60.00 beta=60.00 gamma=60.00
Element x y z (fractional)
Ba  0.000  0.000  0.000
Pu  0.500  0.500  0.500
B  0.101  0.101  0.399
B  0.101  0.399  0.101
B  0.101  0.399  0.399
B  0.399  0.101  0.101
B  0.399  0.101  0.399
B  0.399  0.399  0.101
B  0.601  0.601  0.899
B  0.601  0.899  0.601
B  0.601  0.899  0.899
B  0.899  0.601  0.601
B  0.899  0.601  0.899
B  0.899  0.899  0.601


The following is a PBE calculation of Ti8Zn2Pb after structural relaxation, from Alexandria via LeMat-Bulk.

Properties
DFT formation energy: 0.046 eV per atom
crystal system: monoclinic
ρ: 6240 kg/m3
uncorrected energy: -6.265 eV/atom

Unit cell a=7.736 b=7.736 c=5.185 alpha=99.81 beta=99.81 gamma=38.95
Element x y z (fractional)
Ti  0.098  0.098  0.018
Ti  0.147  0.655  0.454
Ti  0.282  0.282  0.900
Ti  0.345  0.853  0.546
Ti  0.655  0.147  0.454
Ti  0.718  0.718  0.100
Ti  0.853  0.345  0.546
Ti  0.902  0.902  0.982
Zn  0.240  0.240  0.378
Zn  0.760  0.760  0.622
Pb  0.500  0.500  0.000


The following is a PBE calculation of MnZnMo2Pd after structural relaxation, from Alexandria via LeMat-Bulk.

Properties
DFT formation energy: 1.789 eV per atom
crystal system: tetragonal
ρ: 7690 kg/m3
uncorrected energy: -5.670 eV/atom

Unit cell a=4.535 b=4.535 c=4.396 alpha=90.00 beta=90.00 gamma=90.00
Element x y z (fractional)
Mn  0.000  0.000  0.000
Zn  0.500  0.500  0.500
Mo  0.000  0.500  0.500
Mo  0.500  0.000  0.500
Pd  0.500  0.500  0.000


The following is a PBE calculation of HfPI after structural relaxation, from Alexandria via LeMat-Bulk.

Properties
crystal system: triclinic
ρ: 6436 kg/m3
energy relative to the lowest polymorph listed for this composition: 49 meV per atom
uncorrected energy: -6.524 eV/atom

Unit cell a=3.729 b=3.729 c=12.600 alpha=97.82 beta=91.19 gamma=90.00
Element x y z (fractional)
Hf  0.242  0.199  0.389
Hf  0.758  0.801  0.611
P  0.257  0.298  0.604
P  0.743  0.702  0.396
I  0.227  0.098  0.169
I  0.773  0.902  0.831


The following is a PBE calculation of Pr3Pu2UN6 after structural relaxation, from Alexandria via LeMat-Bulk.

Properties
crystal system: monoclinic
ρ: 10674 kg/m3
uncorrected energy: -10.026 eV/atom

Unit cell a=6.150 b=6.150 c=6.201 alpha=99.53 beta=99.53 gamma=119.94
Element x y z (fractional)
Pr  0.000  0.000  0.000
Pr  0.331  0.669  0.000
Pr  0.669  0.331  0.000
Pu  0.166  0.834  0.500
Pu  0.834  0.166  0.500
U  0.500  0.500  0.500
N  0.113  0.429  0.288
N  0.254  0.254  0.714
N  0.429  0.113  0.288
N  0.571  0.887  0.712
N  0.746  0.746  0.286
N  0.887  0.571  0.712


The following is a PBE calculation of CaHgRh2 after structural relaxation, from Alexandria via LeMat-Bulk.

Properties
DFT formation energy: -0.015 eV per atom
crystal system: cubic
ρ: 9931 kg/m3
uncorrected energy: -4.267 eV/atom

Unit cell a=4.726 b=4.726 c=4.726 alpha=60.00 beta=60.00 gamma=60.00
Element x y z (fractional)
Ca  0.000  0.000  0.000
Hg  0.750  0.750  0.750
Rh  0.250  0.250  0.250
Rh  0.500  0.500  0.500


The following is a PBE calculation of Cs3TbHo2Se6 after structural relaxation, from Alexandria via LeMat-Bulk.

Properties
crystal system: monoclinic
ρ: 5722 kg/m3
uncorrected energy: -4.830 eV/atom

Unit cell a=7.381 b=7.381 c=8.727 alpha=98.10 beta=98.10 gamma=120.00
Element x y z (fractional)
Cs  0.000  0.000  0.000
Cs  0.334  0.666  0.000
Cs  0.666  0.334  0.000
Tb  0.500  0.500  0.500
Ho  0.167  0.833  0.500
Ho  0.833  0.167  0.500
Se  0.103  0.438  0.315
Se  0.226  0.226  0.685
Se  0.438  0.103  0.315
Se  0.562  0.897  0.685
Se  0.774  0.774  0.315
Se  0.897  0.562  0.685


The following is a PBE calculation of LiTa2PW after structural relaxation, from Alexandria via LeMat-Bulk.

Properties
DFT formation energy: 1.260 eV per atom
crystal system: tetragonal
ρ: 8495 kg/m3
uncorrected energy: -7.536 eV/atom

Unit cell a=4.975 b=4.975 c=4.610 alpha=90.00 beta=90.00 gamma=90.00
Element x y z (fractional)
Li  0.000  0.000  0.000
Ta  0.000  0.500  0.500
Ta  0.500  0.000  0.500
P  0.500  0.500  0.000
W  0.500  0.500  0.500


The following is a PBE calculation of BaCd2Pd after structural relaxation, from Alexandria via LeMat-Bulk.

Properties
DFT formation energy: -0.170 eV per atom
crystal system: cubic
ρ: 7201 kg/m3
uncorrected energy: -2.406 eV/atom

Unit cell a=5.346 b=5.346 c=5.346 alpha=60.00 beta=60.00 gamma=60.00
Element x y z (fractional)
Ba  0.000  0.000  0.000
Cd  0.250  0.250  0.250
Cd  0.750  0.750  0.750
Pd  0.500  0.500  0.500


The following is a PBE calculation of CsSrPrF6 after structural relaxation, from Alexandria via LeMat-Bulk.

Properties
crystal system: orthorhombic
ρ: 3278 kg/m3
uncorrected energy: -5.716 eV/atom

Unit cell a=8.841 b=8.841 c=8.841 alpha=121.92 beta=119.85 gamma=88.48
Element x y z (fractional)
Cs  0.307  0.057  0.250
Cs  0.693  0.943  0.750
Sr  0.000  0.000  0.500
Sr  0.000  0.500  0.000
Pr  0.000  0.500  0.500
Pr  0.500  0.500  0.000
F  0.056  0.419  0.243
F  0.056  0.813  0.636
F  0.082  0.832  0.250
F  0.309  0.559  0.750
F  0.324  0.187  0.743
F  0.324  0.581  0.136
F  0.676  0.419  0.864
F  0.676  0.813  0.257
F  0.691  0.441  0.250
F  0.918  0.168  0.750
F  0.944  0.187  0.364
F  0.944  0.581  0.757


The following is a PBE calculation of LiSiH after structural relaxation, from Alexandria via LeMat-Bulk.

Properties
crystal system: orthorhombic
ρ: 1728 kg/m3
energy relative to the lowest polymorph listed for this composition: 192 meV per atom
uncorrected energy: -3.487 eV/atom

Unit cell a=12.563 b=4.807 c=4.588 alpha=90.00 beta=90.00 gamma=90.00
Element x y z (fractional)
Li  0.185  0.192  0.249
Li  0.185  0.808  0.749
Li  0.315  0.308  0.749
Li  0.315  0.692  0.249
Li  0.685  0.308  0.751
Li  0.685  0.692  0.251
Li  0.815  0.192  0.251
Li  0.815  0.808  0.751
Si  0.094  0.313  0.749
Si  0.094  0.687  0.249
Si  0.406  0.187  0.249
Si  0.406  0.813  0.749
Si  0.594  0.187  0.251
Si  0.594  0.813  0.751
Si  0.906  0.313  0.751
Si  0.906  0.687  0.251
H  0.094  0.000  0.499
H  0.094  0.000  0.999
H  0.406  0.500  0.499
H  0.406  0.500  0.999
H  0.594  0.500  0.001
H  0.594  0.500  0.501
H  0.906  0.000  0.001
H  0.906  0.000  0.501


The following is a PBE calculation of Ba4LiRh after structural relaxation, from Alexandria via LeMat-Bulk.

Properties
DFT formation energy: -0.044 eV per atom
crystal system: monoclinic
ρ: 3795 kg/m3
energy relative to the lowest polymorph listed for this composition: 21 meV per atom
uncorrected energy: -2.870 eV/atom

Unit cell a=10.884 b=10.046 c=11.624 alpha=90.00 beta=114.81 gamma=90.00
Element x y z (fractional)
Ba  0.062  0.185  0.075
Ba  0.062  0.315  0.575
Ba  0.220  0.542  0.210
Ba  0.220  0.958  0.710
Ba  0.377  0.177  0.465
Ba  0.377  0.323  0.965
Ba  0.384  0.569  0.648
Ba  0.384  0.931  0.148
Ba  0.616  0.069  0.852
Ba  0.616  0.431  0.352
Ba  0.623  0.677  0.035
Ba  0.623  0.823  0.535
Ba  0.780  0.042  0.290
Ba  0.780  0.458  0.790
Ba  0.938  0.685  0.425
Ba  0.938  0.815  0.925
Li  0.156  0.615  0.826
Li  0.156  0.885  0.326
Li  0.844  0.115  0.674
Li  0.844  0.385  0.174
Rh  0.349  0.236  0.707
Rh  0.349  0.264  0.207
Rh  0.651  0.736  0.793
Rh  0.651  0.764  0.293


The following is a PBE calculation of Li4Nb3TeO12 after structural relaxation, from Alexandria via LeMat-Bulk.

Properties
crystal system: triclinic
ρ: 4656 kg/m3
uncorrected energy: -7.199 eV/atom

Unit cell a=5.232 b=5.587 c=7.670 alpha=84.77 beta=89.94 gamma=89.96
Element x y z (fractional)
Li  0.000  0.000  0.000
Li  0.000  0.008  0.497
Li  0.496  0.494  0.494
Li  0.500  0.506  0.005
Nb  0.501  0.945  0.211
Nb  0.997  0.426  0.723
Nb  0.998  0.444  0.221
Te  0.502  0.926  0.712
O  0.125  0.397  0.453
O  0.173  0.089  0.761
O  0.192  0.718  0.134
O  0.304  0.219  0.133
O  0.323  0.584  0.763
O  0.369  0.898  0.450
O  0.631  0.894  0.957
O  0.678  0.591  0.259
O  0.695  0.222  0.630
O  0.816  0.722  0.634
O  0.818  0.093  0.259
O  0.872  0.398  0.955


The following is a PBE calculation of BeAl2Ga2 after structural relaxation, from Alexandria via LeMat-Bulk.

Properties
DFT formation energy: 0.258 eV per atom
crystal system: tetragonal
ρ: 3963 kg/m3
energy relative to the lowest polymorph listed for this composition: 9 meV per atom
uncorrected energy: -3.195 eV/atom

Unit cell a=6.344 b=6.344 c=4.215 alpha=90.00 beta=90.00 gamma=90.00
Element x y z (fractional)
Be  0.000  0.000  0.000
Be  0.500  0.500  0.000
Al  0.150  0.350  0.000
Al  0.350  0.850  0.000
Al  0.650  0.150  0.000
Al  0.850  0.650  0.000
Ga  0.161  0.661  0.500
Ga  0.339  0.161  0.500
Ga  0.661  0.839  0.500
Ga  0.839  0.339  0.500


The following is a PBE calculation of Pr6NdGa after structural relaxation, from Alexandria via LeMat-Bulk.

Properties
DFT formation energy: -0.038 eV per atom
crystal system: trigonal
ρ: 6437 kg/m3
uncorrected energy: -4.597 eV/atom

Unit cell a=6.517 b=6.517 c=6.517 alpha=95.03 beta=95.03 gamma=95.03
Element x y z (fractional)
Pr  0.038  0.574  0.765
Pr  0.235  0.962  0.426
Pr  0.426  0.235  0.962
Pr  0.574  0.765  0.038
Pr  0.765  0.038  0.574
Pr  0.962  0.426  0.235
Nd  0.500  0.500  0.500
Ga  0.000  0.000  0.000


The following is a PBE calculation of AcHo3Tm6 after structural relaxation, from Alexandria via LeMat-Bulk.

Properties
DFT formation energy: 0.274 eV per atom
crystal system: monoclinic
ρ: 8445 kg/m3
uncorrected energy: -4.193 eV/atom

Unit cell a=8.444 b=8.444 c=8.958 alpha=118.80 beta=118.80 gamma=38.40
Element x y z (fractional)
Ac  0.000  0.000  0.000
Ho  0.266  0.266  0.303
Ho  0.500  0.500  0.500
Ho  0.734  0.734  0.697
Tm  0.109  0.109  0.455
Tm  0.168  0.168  0.854
Tm  0.359  0.359  0.746
Tm  0.641  0.641  0.254
Tm  0.832  0.832  0.146
Tm  0.891  0.891  0.545


The following is a PBE calculation of BaCoAu2 after structural relaxation, from Alexandria via LeMat-Bulk.

Properties
DFT formation energy: 0.285 eV per atom
crystal system: cubic
ρ: 10356 kg/m3
energy relative to the lowest polymorph listed for this composition: 479 meV per atom
uncorrected energy: -3.611 eV/atom

Unit cell a=5.115 b=5.115 c=5.115 alpha=60.00 beta=60.00 gamma=60.00
Element x y z (fractional)
Ba  0.000  0.000  0.000
Co  0.750  0.750  0.750
Au  0.250  0.250  0.250
Au  0.500  0.500  0.500


The following is a PBE calculation of CaMgNi2Ag after structural relaxation, from Alexandria via LeMat-Bulk.

Properties
DFT formation energy: 1.251 eV per atom
crystal system: tetragonal
ρ: 4231 kg/m3
uncorrected energy: -2.351 eV/atom

Unit cell a=4.561 b=4.561 c=5.464 alpha=90.00 beta=90.00 gamma=90.00
Element x y z (fractional)
Ca  0.000  0.000  0.000
Mg  0.000  0.000  0.500
Ni  0.000  0.500  0.000
Ni  0.500  0.000  0.000
Ag  0.500  0.500  0.500